No. 1
{
  "formula": "In2Ag2Hg",
  "functional": "PBE-GGA",
  "state": "relaxed",
  "density_g_cm3": 8.66,
  "volume_a3_per_cell": 123.9,
  "delta_e_f_ev_per_atom": 0.158,
  "de_polymorph_mev_per_atom": 127,
  "e_tot_ha_per_atom": -0.079,
  "lattice_angstrom": [[-1.375, -4.079, 0.561], [2.343, -1.261, -3.430], [5.613, -3.857, 2.506]],
  "species": ["Hg", "Ag", "Ag", "In", "In"],
  "fractional_positions": [[0.000, 0.000, 0.000], [0.397, 0.397, 0.206], [0.603, 0.603, 0.794], [0.750, 0.250, 0.500], [0.250, 0.750, 0.500]]
}

=====

No. 2
{
  "formula": "LaGdBiBr",
  "functional": "PBE-GGA",
  "state": "relaxed",
  "density_g_cm3": 8.26,
  "volume_a3_per_cell": 117.6,
  "raw_formation_energy_ev_per_atom": -1.015,
  "e_tot_ha_per_atom": -0.263,
  "lattice_angstrom": [[5.499, 0.000, 0.000], [2.749, 4.762, 0.000], [2.749, 1.587, 4.490]],
  "species": ["Gd", "Bi", "Br", "La"],
  "fractional_positions": [[0.250, 0.250, 0.250], [0.500, 0.500, 0.500], [0.000, 0.000, 0.000], [0.750, 0.750, 0.750]]
}